VASP calculation (PBE-GGA) on Sn2SBr after structural relaxation.

CIF file:
```
data_Sn2SBr
_cell_length_a 8.818
_cell_length_b 8.818
_cell_length_c 8.818
_cell_angle_alpha 25.05
_cell_angle_beta 25.05
_cell_angle_gamma 25.05
_symmetry_space_group_name_H-M 'P 1'
_symmetry_Int_Tables_number 1
loop_
_symmetry_equiv_pos_as_xyz
'x,y,z'
loop_
_atom_site_label
_atom_site_fract_x
_atom_site_fract_y
_atom_site_fract_z
Sn1 0.240 0.240 0.240
Sn2 0.760 0.760 0.760
S1 0.500 0.500 0.500
Br1 0.000 0.000 0.000
```

Summary:
Magnetization   0.00 μB/atom
Uncorrected formation energy   -131 kJ/mol of formula units
Relative energy among the computed polymorphs   28.6 meV per atom

=====

VASP calculation (PBE-GGA) on PrAl4PdPt2 after structural relaxation.

CIF file:
```
data_PrAl4PdPt2
_cell_length_a 9.385
_cell_length_b 9.385
_cell_length_c 9.385
_cell_angle_alpha 26.43
_cell_angle_beta 26.43
_cell_angle_gamma 26.43
_symmetry_space_group_name_H-M 'P 1'
_symmetry_Int_Tables_number 1
loop_
_symmetry_equiv_pos_as_xyz
'x,y,z'
loop_
_atom_site_label
_atom_site_fract_x
_atom_site_fract_y
_atom_site_fract_z
Pr1 0.000 0.000 0.000
Al1 0.133 0.133 0.133
Al2 0.405 0.405 0.405
Al3 0.595 0.595 0.595
Al4 0.867 0.867 0.867
Pd1 0.500 0.500 0.500
Pt1 0.234 0.234 0.234
Pt2 0.766 0.766 0.766
```

Summary:
Magnetization   0.00 μB/atom
DFT formation energy   -7.171 eV per formula unit

=====

VASP calculation (PBE-GGA) on MnNiTe2 after structural relaxation.

CIF file:
```
data_MnNiTe2
_cell_length_a 8.290
_cell_length_b 6.213
_cell_length_c 7.922
_cell_angle_alpha 90.00
_cell_angle_beta 116.03
_cell_angle_gamma 90.00
_symmetry_space_group_name_H-M 'P 1'
_symmetry_Int_Tables_number 1
loop_
_symmetry_equiv_pos_as_xyz
'x,y,z'
loop_
_atom_site_label
_atom_site_fract_x
_atom_site_fract_y
_atom_site_fract_z
Mn1 0.026 0.025 0.311
Mn2 0.026 0.475 0.811
Mn3 0.974 0.525 0.189
Mn4 0.974 0.975 0.689
Ni1 0.109 0.655 0.557
Ni2 0.109 0.845 0.057
Ni3 0.891 0.155 0.943
Ni4 0.891 0.345 0.443
Te1 0.214 0.247 0.145
Te2 0.214 0.253 0.645
Te3 0.299 0.741 0.393
Te4 0.299 0.759 0.893
Te5 0.701 0.241 0.107
Te6 0.701 0.259 0.607
Te7 0.786 0.747 0.355
Te8 0.786 0.753 0.855
```

Summary:
Magnetization   0.77 μB/atom
Uncorrected formation energy   -85 kJ/mol of formula units

=====

VASP calculation (PBE-GGA) on CrIr2 after structural relaxation.

CIF file:
```
data_CrIr2
_cell_length_a 6.037
_cell_length_b 6.037
_cell_length_c 3.824
_cell_angle_alpha 90.00
_cell_angle_beta 90.00
_cell_angle_gamma 143.68
_symmetry_space_group_name_H-M 'P 1'
_symmetry_Int_Tables_number 1
loop_
_symmetry_equiv_pos_as_xyz
'x,y,z'
loop_
_atom_site_label
_atom_site_fract_x
_atom_site_fract_y
_atom_site_fract_z
Cr1 0.086 0.914 0.750
Cr2 0.914 0.086 0.250
Ir1 0.250 0.750 0.250
Ir2 0.420 0.580 0.750
Ir3 0.580 0.420 0.250
Ir4 0.750 0.250 0.750
```

Summary:
Magnetization   0.34 μB/atom
DFT formation energy   -0.491 eV per formula unit